# Sc2BeF8

Sc2BeF8 after structural relaxation (PBE-GGA, Alexandria).

Cell: 8.3962 6.5483 4.4506 Å, 90.00 106.34 90.00°
Space group C2/m (No. 12)
One atom of each set of equivalent atoms:
Sc 0.1815 0.0000 0.3921 (multiplicity 4)
Be 0.0000 0.5000 0.0000 (multiplicity 2)
F 0.0780 0.0000 0.7789 (multiplicity 4)
F 0.1257 0.5000 0.7895 (multiplicity 4)
F 0.1394 0.3080 0.2687 (multiplicity 8)

Properties
DFT total energy ... -6.48 eV per atom
Energy relative to the elements, uncorrected ... -3.63 eV per atom

# NdTm2Si6

NdTm2Si6 after structural relaxation (PBE-GGA, Alexandria).

Cell: 7.1130 7.1130 3.9485 Å, 90.00 90.00 120.00°
Space group P6/mmm (No. 191)
One atom of each set of equivalent atoms:
Nd 0.0000 0.0000 0.0000 (multiplicity 1)
Tm 0.3333 0.6667 0.0000 (multiplicity 2)
Si 0.0000 0.3368 0.5000 (multiplicity 6)

Properties
DFT total energy ... -5.64 eV per atom
Energy relative to the elements, uncorrected ... -0.50 eV per atom

# CsHgBrF2

CsHgBrF2 after structural relaxation (PBE-GGA, Alexandria).

Cell: 4.8847 4.8847 5.4026 Å, 90.00 90.00 90.00°
Space group P4/mmm (No. 123)
One atom of each set of equivalent atoms:
Cs 0.0000 0.0000 0.0000 (multiplicity 1)
Hg 0.5000 0.5000 0.5000 (multiplicity 1)
Br 0.5000 0.5000 0.0000 (multiplicity 1)
F 0.0000 0.5000 0.5000 (multiplicity 2)

Properties
DFT total energy ... -2.89 eV per atom
Energy relative to the elements, uncorrected ... -1.57 eV per atom

# LiTcNi

LiTcNi after structural relaxation (PBE-GGA, Alexandria).

Cell: 4.6361 2.5353 6.7675 Å, 90.00 100.95 90.00°
Space group Pm (No. 6)
One atom of each set of equivalent atoms:
Li 0.0000 0.0000 0.0000 (multiplicity 1)
Li 0.4884 0.5000 0.0115 (multiplicity 1)
Tc 0.5786 0.0000 0.6560 (multiplicity 1)
Tc 0.8089 0.0000 0.3577 (multiplicity 1)
Ni 0.0923 0.5000 0.6687 (multiplicity 1)
Ni 0.2959 0.5000 0.3433 (multiplicity 1)

Properties
DFT total energy ... -5.95 eV per atom
Relative energy among the computed polymorphs ... 0.009 eV per atom
Energy relative to the elements ... 7 kJ per mole of atoms